The following is a PBE calculation of a relaxed structure of LiPt2, from Alexandria via LeMat-Bulk.

Cell lengths 4.860, 4.860, 4.860 Å; angles 101.79, 101.79, 126.25 degrees
Element x y z (fractional)
Li: 0.750 0.750 0.000
Li: 0.250 0.250 0.000
Pt: 0.654 0.154 0.808
Pt: 0.346 0.846 0.192
Pt: 0.154 0.346 0.500
Pt: 0.846 0.654 0.500

Energy of formation   -72 kJ/mol of formula units
Crystal system   tetragonal
DOS at the Fermi energy   0.724 states/eV/atom
V   13.8 Å³/atom
Total energy   -4.915 eV/atom
Symmetry   No. 140